Density functional theory data (PBE-GGA) for an optimized crystal structure of ThInSb.

## Properties
Its offset from the most stable computed form is 0.1135 eV per atom. As for the total energy: -5.021 eV per atom. As for the space-group type: P3m1, No. 156. For the mass density, the calculation gives 9.24 g cm⁻³.

Cell lengths 5.2511, 5.2511, 3.5268 Å; angles 90.00, 90.00, 120.00 degrees
Sites, in units of the cell vectors:
Th (0.0000, 0.0000, 0.0000)
In (0.6667, 0.3333, 0.4984)
Sb (0.3333, 0.6667, 0.5014)